Y2Cd3Hg4: relaxed, PBE.

Cell: 8.795 5.054 9.600 Å, 90.00 90.60 90.00°
Space group C2/m (No. 12)
One atom of each set of equivalent atoms:
Y 0.168 0.000 0.215
Cd 0.000 0.500 0.000
Cd 0.166 0.000 0.563
Hg 0.002 0.500 0.338
Hg 0.166 0.000 0.892

## Properties
- DOS at the Fermi energy: 0.396 states/eV per atom
- Size of the total moment: 0.0000 μB per atom
- ρ: 10.25 g/cm³
- Calculated total energy: -19.60 eV per formula unit


YCd2Hg4: relaxed, PBE.

Cell: 5.0022 5.0022 24.3751 Å, 90.00 90.00 120.00°
Space group R-3m (No. 166, hexagonal axes)
One atom of each set of equivalent atoms:
Y 0.0000 0.0000 0.0000
Cd 0.0000 0.0000 0.2540
Hg 0.0000 0.0000 0.1326
Hg 0.0000 0.0000 0.3860

## Properties
- DOS at the Fermi energy: 0.572 states/eV per atom
- Size of the total moment: 0.0000 μB per atom
- ρ: 10.53 g/cm³
- Calculated total energy: -10.85 eV per formula unit


YCd5Hg8: relaxed, PBE.

Cell: 8.897 8.897 8.862 Å, 90.00 90.00 90.00°
Space group I-4 (No. 82)
One atom of each set of equivalent atoms:
Y 0.000 0.000 0.000
Cd 0.000 0.500 0.750
Cd 0.135 0.273 0.362
Hg 0.065 0.167 0.687
Hg 0.095 0.337 0.034

## Properties
- DOS at the Fermi energy: 0.344 states/eV per atom
- Size of the total moment: 0.0000 μB per atom
- ρ: 10.68 g/cm³
- Calculated total energy: -14.20 eV per formula unit


Y6Cd5Hg: relaxed, PBE.

Cell: 5.288 7.496 8.379 Å, 90.00 108.24 90.00°
Space group P2/m (No. 10)
One atom of each set of equivalent atoms:
Y 0.000 0.248 0.000
Y 0.335 0.250 0.669
Cd 0.168 0.500 0.335
Cd 0.171 0.000 0.341
Cd 0.500 0.500 0.000
Hg 0.500 0.000 0.000

## Properties
- DOS at the Fermi energy: 0.978 states/eV per atom
- Size of the total moment: 0.0001 μB per atom
- ρ: 6.82 g/cm³
- Calculated total energy: -48.24 eV per formula unit


YCd2Hg2: relaxed, PBE.

Cell: 4.8906 4.8906 17.3552 Å, 90.00 90.00 120.00°
Space group R-3m (No. 166, hexagonal axes)
One atom of each set of equivalent atoms:
Y 0.0000 0.0000 0.0000
Cd 0.0000 0.0000 0.2025
Hg 0.0000 0.0000 0.4070

## Properties
- DOS at the Fermi energy: 0.402 states/eV per atom
- Size of the total moment: 0.0000 μB per atom
- ρ: 9.91 g/cm³
- Calculated total energy: -10.24 eV per formula unit


Y3CdHg2: relaxed, PBE.

Cell: 3.739 3.739 11.184 Å, 90.00 90.00 90.00°
Space group P4/mmm (No. 123)
One atom of each set of equivalent atoms:
Y 0.000 0.000 0.000
Y 0.000 0.000 0.331
Cd 0.500 0.500 0.500
Hg 0.500 0.500 0.168

## Properties
- DOS at the Fermi energy: 0.911 states/eV per atom
- Size of the total moment: 0.0004 μB per atom
- ρ: 8.29 g/cm³
- Calculated total energy: -23.67 eV per formula unit


YZrCdHg: relaxed, PBE.

Cell: 7.258 7.258 7.258 Å, 90.00 90.00 90.00°
Space group F-43m (No. 216)
One atom of each set of equivalent atoms:
Y 0.000 0.000 0.000
Zr 0.000 0.000 0.500
Cd 0.250 0.250 0.750
Hg 0.250 0.250 0.250

## Properties
- DOS at the Fermi energy: 1.018 states/eV per atom
- Size of the total moment: 0.2027 μB per atom
- ρ: 8.57 g/cm³
- Calculated total energy: -17.05 eV per formula unit


Zn2CdHg: relaxed, PBE.

Cell: 3.101 3.101 8.192 Å, 90.00 90.00 90.00°
Space group P4/mmm (No. 123)
One atom of each set of equivalent atoms:
Zn 0.000 0.000 0.247
Cd 0.500 0.500 0.000
Hg 0.500 0.500 0.500

## Properties
- DOS at the Fermi energy: 0.398 states/eV per atom
- Size of the total moment: 0.0000 μB per atom
- ρ: 9.36 g/cm³
- Calculated total energy: -3.26 eV per formula unit


Zn2Cd8Hg: relaxed, PBE.

Cell: 7.734 12.614 5.247 Å, 90.00 100.06 90.00°
Space group C2/m (No. 12)
One atom of each set of equivalent atoms:
Zn 0.000 0.193 0.000
Cd 0.000 0.250 0.500
Cd 0.114 0.000 0.290
Cd 0.197 0.380 0.141
Hg 0.000 0.500 0.500

## Properties
- DOS at the Fermi energy: 0.384 states/eV per atom
- Size of the total moment: 0.0000 μB per atom
- ρ: 8.11 g/cm³
- Calculated total energy: -9.39 eV per formula unit


Zn2CdHg: relaxed, PBE.

Cell: 2.774 5.587 10.582 Å, 90.00 90.00 90.00°
Space group Immm (No. 71)
One atom of each set of equivalent atoms:
Zn 0.000 0.000 0.248
Cd 0.000 0.500 0.500
Hg 0.000 0.500 0.000

## Properties
- DOS at the Fermi energy: 0.324 states/eV per atom
- Size of the total moment: 0.0000 μB per atom
- ρ: 8.98 g/cm³
- Calculated total energy: -3.22 eV per formula unit


ZnCd4Hg7: relaxed, PBE.

Cell: 4.2036 4.2036 20.8040 Å, 90.00 90.00 120.00°
Space group P-3m1 (No. 164)
One atom of each set of equivalent atoms:
Zn 0.0000 0.0000 0.0000
Cd 0.3333 0.6667 0.1539
Cd 0.3333 0.6667 0.4151
Hg 0.0000 0.0000 0.2391
Hg 0.0000 0.0000 0.5000
Hg 0.3333 0.6667 0.6712
Hg 0.3333 0.6667 0.9318

## Properties
- DOS at the Fermi energy: 0.205 states/eV per atom
- Size of the total moment: 0.0000 μB per atom
- ρ: 10.01 g/cm³
- Calculated total energy: -6.52 eV per formula unit


Zn2CdHg: relaxed, PBE.

Cell: 2.871 4.789 11.716 Å, 90.00 90.00 90.00°
Space group Imm2 (No. 44)
One atom of each set of equivalent atoms:
Zn 0.000 0.000 0.000
Zn 0.000 0.500 0.308
Cd 0.000 0.500 0.757
Hg 0.000 0.000 0.556

## Properties
- DOS at the Fermi energy: 0.266 states/eV per atom
- Size of the total moment: 0.0000 μB per atom
- ρ: 9.15 g/cm³
- Calculated total energy: -3.39 eV per formula unit